AcAl2Ru2C: optimized geometry, PBE.

Values from the calculation:
ΔE_f = -0.36 eV per atom
total moment = 0.0 μB per formula unit
E_tot = -6.92 eV/atom

Cell: 4.1744 4.1744 5.9013 Å, 90.00 90.00 90.00°
Last column: nearest neighbours and their distance in Å.
Space group P4/mmm (No. 123)
Unique sites:
Ac: 0.0000 0.0000 0.0000 x1  2 C 2.95, 8 Al 3.28
Al: 0.5000 0.5000 0.2406 x2  4 Ru 2.59, 1 Al 2.84
Ru: 0.0000 0.5000 0.5000 x2  2 C 2.09
C: 0.0000 0.0000 0.5000 x1  4 Ru 2.09